(1)
Computed, not measured: a relaxed Nd3Te2As crystal at the PBE level of DFT.

It has space group C2/c (No. 15), with a = 7.7635 Å, b = 13.2393 Å, c = 7.6126 Å, α = 90.00°, β = 109.54° and γ = 90.00°. Symmetry generates all atoms from Nd at (0.2178, 0.0741, 0.4960), Nd at (0.2500, 0.2500, 0.0000), Te at (0.0000, 0.2581, 0.2500), Te at (0.0000, 0.4191, 0.7500) and As at (0.0000, 0.0888, 0.7500).

Its total DFT energy (no corrections) is -136.766 eV for the cell shown. The value obtained for the distance to the lowest polymorph of the same formula is 0.018 eV per atom. Its energy relative to the elements, uncorrected is -8.96 eV per formula unit.


(2)
Computed, not measured: a relaxed Nd6Te5As crystal at the PBE level of DFT.

It has space group C2/m (No. 12), with a = 7.7360 Å, b = 13.4033 Å, c = 7.7502 Å, α = 90.00°, β = 109.31° and γ = 90.00°. Symmetry generates all atoms from Nd at (0.2283, 0.0000, 0.2625), Nd at (0.2307, 0.1544, 0.7317), Te at (0.0000, 0.1742, 0.0000), Te at (0.0000, 0.3350, 0.5000), Te at (0.0000, 0.5000, 0.0000) and As at (0.0000, 0.0000, 0.5000).

Its total DFT energy (no corrections) is -133.339 eV for the cell shown. Its energy relative to the elements, uncorrected is -17.70 eV per formula unit.


(3)
Computed, not measured: a relaxed Nd3Te2As crystal at the PBE level of DFT.

It has space group C2/m (No. 12), with a = 7.6288 Å, b = 13.1890 Å, c = 7.7625 Å, α = 90.00°, β = 109.11° and γ = 90.00°. Symmetry generates all atoms from Nd at (0.2219, 0.0000, 0.2234), Nd at (0.2473, 0.1757, 0.7728), Te at (0.0000, 0.0000, 0.5000), Te at (0.0000, 0.3393, 0.5000), Te at (0.0000, 0.5000, 0.0000) and As at (0.0000, 0.1679, 0.0000).

Its total DFT energy (no corrections) is -137.194 eV for the cell shown. The value obtained for the distance to the lowest polymorph of the same formula is 0.000 eV per atom. Its energy relative to the elements, uncorrected is -9.06 eV per formula unit.


(4)
Computed, not measured: a relaxed Nd3TeAs2 crystal at the PBE level of DFT.

It has space group Imma (No. 74), with a = 7.6954 Å, b = 11.6478 Å, c = 9.0734 Å, α = 90.00°, β = 90.00° and γ = 90.00°. Symmetry generates all atoms from Nd at (0.2294, 0.0000, 0.0000), Nd at (0.2500, 0.2500, 0.2500), Te at (0.0000, 0.2500, 0.9444) and As at (0.0000, 0.0527, 0.2869).

Its total DFT energy (no corrections) is -132.973 eV for the cell shown. Its energy relative to the elements, uncorrected is -6.50 eV per formula unit.


(5)
Computed, not measured: a relaxed Nd3Te12As5 crystal at the PBE level of DFT.

It has space group Ia-3d (No. 230), with a = 17.6772 Å, b = 17.6772 Å, c = 17.6772 Å, α = 90.00°, β = 90.00° and γ = 90.00°. Symmetry generates all atoms from Nd at (0.0000, 0.2500, 0.1250), Te at (0.0206, 0.0621, 0.6503), As at (0.0000, 0.0000, 0.0000) and As at (0.0000, 0.2500, 0.3750).

Its total DFT energy (no corrections) is -671.460 eV for the cell shown. Its energy relative to the elements, uncorrected is -8.68 eV per formula unit.


(6)
Computed, not measured: a relaxed Nd6TeAs5 crystal at the PBE level of DFT.

It has space group C2/m (No. 12), with a = 7.4796 Å, b = 12.9299 Å, c = 7.4659 Å, α = 90.00°, β = 109.52° and γ = 90.00°. Symmetry generates all atoms from Nd at (0.2389, 0.0000, 0.2571), Nd at (0.2405, 0.1735, 0.7427), Te at (0.0000, 0.5000, 0.0000), As at (0.0000, 0.0000, 0.5000), As at (0.0000, 0.1672, 0.0000) and As at (0.0000, 0.3371, 0.5000).

Its total DFT energy (no corrections) is -146.741 eV for the cell shown. Its energy relative to the elements, uncorrected is -18.37 eV per formula unit.


(7)
Computed, not measured: a relaxed Nd5TeAs4 crystal at the PBE level of DFT.

It has space group Immm (No. 71), with a = 4.3025 Å, b = 6.1204 Å, c = 21.6734 Å, α = 90.00°, β = 90.00° and γ = 90.00°. Symmetry generates all atoms from Nd at (0.0000, 0.0000, 0.0000), Nd at (0.0000, 0.0000, 0.1988), Nd at (0.0000, 0.0000, 0.3897), Te at (0.0000, 0.5000, 0.0000), As at (0.0000, 0.5000, 0.2026) and As at (0.0000, 0.5000, 0.4005).

Its total DFT energy (no corrections) is -121.615 eV for the cell shown. Its energy relative to the elements, uncorrected is -15.23 eV per formula unit.


(8)
Computed, not measured: a relaxed NdTmTeAs crystal at the PBE level of DFT.

It has space group R3m (No. 160, hexagonal axes), with a = 4.1782 Å, b = 4.1782 Å, c = 22.3394 Å, α = 90.00°, β = 90.00° and γ = 120.00°. Symmetry generates all atoms from Nd at (0.0000, 0.0000, 0.0000), Tm at (0.0000, 0.0000, 0.1894), Te at (0.0000, 0.0000, 0.4314) and As at (0.0000, 0.0000, 0.5918).

Its total DFT energy (no corrections) is -68.230 eV for the cell shown. Its energy relative to the elements, uncorrected is -5.71 eV per formula unit.


(9)
Computed, not measured: a relaxed Nd8ZnTe4As3 crystal at the PBE level of DFT.

It has space group R-3m (No. 166, hexagonal axes), with a = 8.7199 Å, b = 8.7199 Å, c = 21.8392 Å, α = 90.00°, β = 90.00° and γ = 120.00°. Symmetry generates all atoms from Nd at (0.0000, 0.0000, 0.2400), Nd at (0.0019, 0.5010, 0.7574), Zn at (0.0000, 0.0000, 0.5000), Te at (0.0000, 0.0000, 0.0000), Te at (0.0000, 0.5000, 0.0000) and As at (0.0000, 0.5000, 0.5000).

Its total DFT energy (no corrections) is -262.887 eV for the cell shown. Its energy relative to the elements, uncorrected is -21.70 eV per formula unit.


(10)
Computed, not measured: a relaxed NdThAs2 crystal at the PBE level of DFT.

It has space group R3m (No. 160, hexagonal axes), with a = 4.2081 Å, b = 4.2081 Å, c = 21.8565 Å, α = 90.00°, β = 90.00° and γ = 120.00°. Symmetry generates all atoms from Nd at (0.0000, 0.0000, 0.0000), Th at (0.0000, 0.0000, 0.1736), As at (0.0000, 0.0000, 0.5854) and As at (0.0000, 0.0000, 0.7566).

Its total DFT energy (no corrections) is -80.447 eV for the cell shown. The value obtained for the distance to the lowest polymorph of the same formula is 0.142 eV per atom. For the formation energy, the calculation gives -5.329 eV per formula unit.


(11)
Computed, not measured: a relaxed NdThAs2 crystal at the PBE level of DFT.

It has space group R-3m (No. 166, hexagonal axes), with a = 4.2654 Å, b = 4.2654 Å, c = 20.8522 Å, α = 90.00°, β = 90.00° and γ = 120.00°. Symmetry generates all atoms from Nd at (0.0000, 0.0000, 0.0000), Th at (0.0000, 0.0000, 0.5000) and As at (0.0000, 0.0000, 0.2488).

Its total DFT energy (no corrections) is -82.148 eV for the cell shown. The value obtained for the distance to the lowest polymorph of the same formula is 0.000 eV per atom. For the formation energy, the calculation gives -5.896 eV per formula unit.


(12)
Computed, not measured: a relaxed NdTh4As5 crystal at the PBE level of DFT.

It has space group I4/m (No. 87), with a = 9.5166 Å, b = 9.5166 Å, c = 6.0191 Å, α = 90.00°, β = 90.00° and γ = 90.00°. Symmetry generates all atoms from Nd at (0.0000, 0.0000, 0.0000), Th at (0.1009, 0.2995, 0.5000), As at (0.0000, 0.0000, 0.5000) and As at (0.1002, 0.3013, 0.0000).

Its total DFT energy (no corrections) is -143.912 eV for the cell shown. For the formation energy, the calculation gives -14.261 eV per formula unit.


| no. | density of states at the Fermi level (states/eV/cell) |
| --- | --- |
| 1 | 12.4 |
| 2 | 13.1 |
| 3 | 11.2 |
| 4 | 9.6 |
| 5 | 33.1 |
| 6 | 6.6 |
| 7 | 5.9 |
| 8 | 7.7 |
| 9 | 22.3 |
| 10 | 8.7 |
| 11 | 5.6 |
| 12 | 11.6 |